The following is a DFT calculation (PBE) of Pm5Co2Sn after structural relaxation.

The structure in extended XYZ format:
```
16
Lattice="-6.247 4.562 1.108 -2.637 -4.936 5.453 7.845 3.678 1.525" Properties=species:S:1:pos:R:3 pbc="T T T"
Pm -1.640 1.690 2.529
Pm 4.198 0.221 4.023
Pm -4.442 -0.187 3.281
Sn 1.701 1.746 2.403
Co -1.809 -1.178 2.137
Co -4.554 -2.604 5.117
Pm 4.393 3.510 1.495
Pm 0.601 1.614 5.558
Pm 0.796 4.903 3.030
Co -7.075 0.804 4.425
Sn -2.741 1.559 5.684
Pm -1.835 -1.599 5.056
Pm -5.238 3.083 4.064
Pm 0.000 0.000 0.000
Pm -5.433 -0.206 6.591
Co -4.330 2.230 1.445
```

Summary:
The calculation puts the formation energy at -0.275 eV per atom. The density of states at the Fermi level is 1.167 states/eV per atom. Its crystal system is tetragonal. Its space-group type is I4/mcm.